No. 1
ScZnNiOs after structural relaxation, computed with GGA-PBE.

abc: 4.390 4.390 4.390
angles: 60.00 60.00 60.00
Fractional coordinates of all 4 atoms:
Sc (0.000, 0.000, 0.000)
Zn (0.250, 0.250, 0.250)
Ni (0.500, 0.500, 0.500)
Os (0.750, 0.750, 0.750)

Results
The calculation puts the formation energy from the elements at 0.219 eV per formula unit. The value obtained for the size of the total moment is 0.93 μB/cell.

No. 2
NbGePO after structural relaxation, computed with GGA-PBE.

abc: 3.299 5.911 7.271
angles: 90.00 90.00 90.00
Fractional coordinates of all 8 atoms:
Nb (0.000, 0.060, 0.000)
Nb (0.000, 0.940, 0.500)
Ge (0.500, 0.304, 0.571)
Ge (0.500, 0.696, 0.071)
P (0.500, 0.359, 0.900)
P (0.500, 0.641, 0.400)
O (0.000, 0.106, 0.255)
O (0.000, 0.894, 0.755)

Results
Its energy is -7.17 eV/atom. The value obtained for the size of the total moment is 0.00 μB/cell.

No. 3
PrYAsO after structural relaxation, computed with GGA-PBE.

abc: 4.335 4.335 9.240
angles: 90.00 90.00 90.00
Fractional coordinates of all 8 atoms:
Pr (0.250, 0.750, 0.000)
Pr (0.750, 0.250, 0.000)
Y (0.250, 0.250, 0.405)
Y (0.750, 0.750, 0.595)
As (0.250, 0.250, 0.779)
As (0.750, 0.750, 0.221)
O (0.250, 0.750, 0.500)
O (0.750, 0.250, 0.500)

Results
Its energy is -6.98 eV/atom. The value obtained for the size of the total moment is 0.01 μB/cell.

No. 4
MgHgSO after structural relaxation, computed with GGA-PBE.

abc: 3.559 3.559 12.399
angles: 90.00 90.00 120.00
Fractional coordinates of all 8 atoms:
Mg (0.333, 0.667, 0.000)
Mg (0.667, 0.333, 0.500)
Hg (0.000, 0.000, 0.227)
Hg (0.000, 0.000, 0.727)
S (0.333, 0.667, 0.356)
S (0.667, 0.333, 0.856)
O (0.000, 0.000, 0.052)
O (0.000, 0.000, 0.552)

Results
Its energy is -3.74 eV/atom.

No. 5
PmTaTe after structural relaxation, computed with GGA-PBE.

abc: 4.871 4.871 4.871
angles: 60.00 60.00 60.00
Fractional coordinates of all 3 atoms:
Pm (0.000, 0.000, 0.000)
Ta (0.500, 0.500, 0.500)
Te (0.250, 0.250, 0.250)

Results
Its energy is -6.26 eV/atom. The value obtained for the size of the total moment is 0.01 μB/cell.

No. 6
GeBPd after structural relaxation, computed with GGA-PBE.

abc: 4.292 4.292 2.653
angles: 90.00 90.00 120.00
Fractional coordinates of all 3 atoms:
Ge (0.000, 0.000, 0.000)
B (0.333, 0.667, 0.000)
Pd (0.667, 0.333, 0.000)

Results
Its energy is -4.79 eV/atom.

No. 7
NiB2Te after structural relaxation, computed with GGA-PBE.

abc: 4.191 4.191 4.191
angles: 60.00 60.00 60.00
Fractional coordinates of all 4 atoms:
Ni (0.000, 0.000, 0.000)
B (0.500, 0.500, 0.500)
B (0.750, 0.750, 0.750)
Te (0.250, 0.250, 0.250)

Results
Its energy is -3.96 eV/atom. The value obtained for the size of the total moment is 0.00 μB/cell.

No. 8
AcMgNb after structural relaxation, computed with GGA-PBE.

abc: 5.260 5.260 5.260
angles: 60.00 60.00 60.00
Fractional coordinates of all 3 atoms:
Ac (0.000, 0.000, 0.000)
Mg (0.750, 0.750, 0.750)
Nb (0.250, 0.250, 0.250)

Results
Its energy is -3.86 eV/atom. The value obtained for the size of the total moment is 2.77 μB/cell.

No. 9
MgSc2Cd2HgAu2 after structural relaxation, computed with GGA-PBE.

abc: 4.839 4.839 6.822
angles: 90.00 90.00 90.00
Fractional coordinates of all 8 atoms:
Mg (0.000, 0.000, 0.000)
Sc (0.000, 0.500, 0.738)
Sc (0.500, 0.000, 0.262)
Cd (0.000, 0.500, 0.241)
Cd (0.500, 0.000, 0.759)
Hg (0.500, 0.500, 0.500)
Au (0.000, 0.000, 0.500)
Au (0.500, 0.500, 0.000)

Results
Its energy is -3.28 eV/atom. The value obtained for the size of the total moment is 0.00 μB/cell.

No. 10
GdInIr after structural relaxation, computed with GGA-PBE.

abc: 8.361 8.361 3.164
angles: 90.00 90.00 120.00
Fractional coordinates of all 9 atoms:
Gd (0.000, 0.304, 0.000)
Gd (0.304, 0.000, 0.000)
Gd (0.696, 0.696, 0.000)
In (0.000, 0.000, 0.500)
In (0.333, 0.667, 0.000)
In (0.667, 0.333, 0.000)
Ir (0.000, 0.608, 0.500)
Ir (0.392, 0.392, 0.500)
Ir (0.608, 0.000, 0.500)

Results
Its energy is -5.57 eV/atom. The value obtained for the size of the total moment is 0.01 μB/cell.

No. 11
MgAsOsO after structural relaxation, computed with GGA-PBE.

abc: 3.912 3.912 9.069
angles: 90.00 90.00 90.00
Fractional coordinates of all 8 atoms:
Mg (0.250, 0.250, 0.011)
Mg (0.750, 0.750, 0.989)
As (0.250, 0.250, 0.673)
As (0.750, 0.750, 0.327)
Os (0.250, 0.750, 0.500)
Os (0.750, 0.250, 0.500)
O (0.250, 0.750, 0.000)
O (0.750, 0.250, 0.000)

Results
Its energy is -6.61 eV/atom. The value obtained for the size of the total moment is 0.01 μB/cell.

No. 12
SmYPO after structural relaxation, computed with GGA-PBE.

abc: 4.325 4.325 8.771
angles: 90.00 90.00 90.00
Fractional coordinates of all 8 atoms:
Sm (0.250, 0.750, 0.000)
Sm (0.750, 0.250, 0.000)
Y (0.250, 0.250, 0.401)
Y (0.750, 0.750, 0.599)
P (0.250, 0.250, 0.796)
P (0.750, 0.750, 0.204)
O (0.250, 0.750, 0.500)
O (0.750, 0.250, 0.500)

Results
Its energy is -7.21 eV/atom. The value obtained for the size of the total moment is 0.01 μB/cell.

No. 13
Ho3Mg3TlHg2 after structural relaxation, computed with GGA-PBE.

abc: 7.783 7.783 4.213
angles: 90.00 90.00 120.00
Fractional coordinates of all 9 atoms:
Ho (0.000, 0.585, 0.000)
Ho (0.415, 0.415, 0.000)
Ho (0.585, 0.000, 0.000)
Mg (0.000, 0.256, 0.500)
Mg (0.256, 0.000, 0.500)
Mg (0.744, 0.744, 0.500)
Tl (0.000, 0.000, 0.000)
Hg (0.333, 0.667, 0.500)
Hg (0.667, 0.333, 0.500)

Results
Its energy is -2.72 eV/atom. The value obtained for the size of the total moment is 0.01 μB/cell.

No. 14
NpAsPb after structural relaxation, computed with GGA-PBE.

abc: 4.886 4.886 4.886
angles: 60.00 60.00 60.00
Fractional coordinates of all 3 atoms:
Np (0.000, 0.000, 0.000)
As (0.750, 0.750, 0.750)
Pb (0.250, 0.250, 0.250)

Results
Its energy is -6.80 eV/atom. The value obtained for the size of the total moment is 3.80 μB/cell.

No. 15
PmTcGe after structural relaxation, computed with GGA-PBE.

abc: 4.551 4.551 4.551
angles: 60.00 60.00 60.00
Fractional coordinates of all 3 atoms:
Pm (0.000, 0.000, 0.000)
Tc (0.500, 0.500, 0.500)
Ge (0.250, 0.250, 0.250)

Results
Its energy is -6.49 eV/atom. The value obtained for the size of the total moment is 0.21 μB/cell.

No. 16
Gd3Si4Ge4 after structural relaxation, computed with GGA-PBE.

abc: 8.644 8.644 8.644
angles: 151.43 133.19 55.76
Fractional coordinates of all 11 atoms:
Gd (0.000, 0.000, 0.000)
Gd (0.367, 0.867, 0.500)
Gd (0.633, 0.133, 0.500)
Si (0.025, 0.349, 0.676)
Si (0.327, 0.651, 0.676)
Si (0.673, 0.349, 0.324)
Si (0.975, 0.651, 0.324)
Ge (0.213, 0.213, 0.000)
Ge (0.317, 0.500, 0.817)
Ge (0.683, 0.500, 0.183)
Ge (0.787, 0.787, 0.000)

Results
Its energy is -5.24 eV/atom. The value obtained for the size of the total moment is 0.03 μB/cell.

No. 17
CuAg3 after structural relaxation, computed with GGA-PBE.

abc: 5.008 5.008 9.779
angles: 102.19 102.19 33.67
Fractional coordinates of all 8 atoms:
Cu (0.121, 0.121, 0.185)
Cu (0.879, 0.879, 0.815)
Ag (0.137, 0.137, 0.695)
Ag (0.379, 0.379, 0.057)
Ag (0.379, 0.379, 0.572)
Ag (0.621, 0.621, 0.428)
Ag (0.621, 0.621, 0.943)
Ag (0.863, 0.863, 0.305)

Results
The calculation puts the formation energy from the elements at 0.259 eV per formula unit.

No. 18
HfZrNi2Sn2 after structural relaxation, computed with GGA-PBE.

abc: 8.664 4.331 12.995
angles: 90.00 109.47 90.00
Fractional coordinates of all 24 atoms:
Hf (0.000, 0.000, 0.000)
Hf (0.125, 0.500, 0.750)
Hf (0.250, 0.000, 0.500)
Hf (0.750, 0.000, 0.500)
Zr (0.375, 0.500, 0.250)
Zr (0.500, 0.000, 0.000)
Zr (0.625, 0.500, 0.750)
Zr (0.875, 0.500, 0.250)
Ni (0.062, 0.500, 0.124)
Ni (0.186, 0.000, 0.874)
Ni (0.311, 0.500, 0.624)
Ni (0.438, 0.000, 0.376)
Ni (0.562, 0.500, 0.125)
Ni (0.689, 0.000, 0.875)
Ni (0.814, 0.500, 0.624)
Ni (0.938, 0.000, 0.376)
Sn (0.000, 0.500, 0.501)
Sn (0.125, 0.000, 0.250)
Sn (0.249, 0.500, 0.999)
Sn (0.374, 0.000, 0.749)
Sn (0.500, 0.500, 0.500)
Sn (0.625, 0.000, 0.251)
Sn (0.751, 0.500, 0.000)
Sn (0.876, 0.000, 0.750)

Results
Its energy is -6.94 eV/atom. The value obtained for the size of the total moment is 0.01 μB/cell.

No. 19
TbTeNO after structural relaxation, computed with GGA-PBE.

abc: 4.061 6.085 6.465
angles: 90.00 90.00 90.00
Fractional coordinates of all 8 atoms:
Tb (0.000, 0.199, 0.000)
Tb (0.000, 0.801, 0.500)
Te (0.500, 0.333, 0.404)
Te (0.500, 0.667, 0.904)
N (0.500, 0.379, 0.062)
N (0.500, 0.621, 0.562)
O (0.000, 0.077, 0.697)
O (0.000, 0.923, 0.197)

Results
Its energy is -6.35 eV/atom. The value obtained for the size of the total moment is 0.00 μB/cell.

No. 20
CdH after structural relaxation, computed with GGA-PBE.

abc: 3.078 3.078 3.223
angles: 90.00 90.00 120.00
Fractional coordinates of all 2 atoms:
Cd (0.000, 0.000, 0.000)
H (0.667, 0.333, 0.500)

Results
Its energy is -1.57 eV/atom.

No. 21
PrFeCo after structural relaxation, computed with GGA-PBE.

abc: 4.372 4.372 4.372
angles: 60.00 60.00 60.00
Fractional coordinates of all 3 atoms:
Pr (0.000, 0.000, 0.000)
Fe (0.750, 0.750, 0.750)
Co (0.500, 0.500, 0.500)

Results
The calculation puts the formation energy from the elements at 1.639 eV per formula unit. The value obtained for the size of the total moment is 3.57 μB/cell.

No. 22
LaTlZnO3 after structural relaxation, computed with GGA-PBE.

abc: 6.044 6.044 9.777
angles: 90.00 90.00 144.04
Fractional coordinates of all 12 atoms:
La (0.000, 0.000, 0.000)
La (0.000, 0.000, 0.500)
Tl (0.282, 0.718, 0.750)
Tl (0.718, 0.282, 0.250)
Zn (0.433, 0.567, 0.250)
Zn (0.567, 0.433, 0.750)
O (0.036, 0.964, 0.250)
O (0.380, 0.620, 0.065)
O (0.380, 0.620, 0.435)
O (0.620, 0.380, 0.565)
O (0.620, 0.380, 0.935)
O (0.964, 0.036, 0.750)

Results
Its energy is -5.79 eV/atom. The value obtained for the size of the total moment is 0.00 μB/cell.

No. 23
TbPr2Ga3AgPt2 after structural relaxation, computed with GGA-PBE.

abc: 3.935 7.554 7.554
angles: 119.87 90.00 90.00
Fractional coordinates of all 9 atoms:
Tb (0.000, 0.000, 0.000)
Pr (0.000, 0.176, 0.587)
Pr (0.000, 0.587, 0.176)
Ga (0.500, 0.322, 0.322)
Ga (0.500, 0.593, 0.851)
Ga (0.500, 0.851, 0.593)
Ag (0.000, 0.593, 0.593)
Pt (0.500, 0.246, 0.924)
Pt (0.500, 0.924, 0.246)

Results
Its energy is -5.07 eV/atom. The value obtained for the size of the total moment is 0.01 μB/cell.

No. 24
Dy3Al3Cu2Ni after structural relaxation, computed with GGA-PBE.

abc: 6.965 6.965 4.018
angles: 90.00 90.00 120.00
Fractional coordinates of all 9 atoms:
Dy (0.000, 0.589, 0.000)
Dy (0.411, 0.411, 0.000)
Dy (0.589, 0.000, 0.000)
Al (0.000, 0.230, 0.500)
Al (0.230, 0.000, 0.500)
Al (0.770, 0.770, 0.500)
Cu (0.333, 0.667, 0.500)
Cu (0.667, 0.333, 0.500)
Ni (0.000, 0.000, 0.000)

Results
Its energy is -4.74 eV/atom. The value obtained for the size of the total moment is 0.00 μB/cell.

No. 25
Co5W after structural relaxation, computed with GGA-PBE.

abc: 4.630 4.630 7.766
angles: 90.00 90.00 120.00
Fractional coordinates of all 12 atoms:
Co (0.175, 0.350, 0.250)
Co (0.175, 0.825, 0.250)
Co (0.333, 0.667, 0.580)
Co (0.333, 0.667, 0.920)
Co (0.350, 0.175, 0.750)
Co (0.650, 0.825, 0.250)
Co (0.667, 0.333, 0.080)
Co (0.667, 0.333, 0.420)
Co (0.825, 0.175, 0.750)
Co (0.825, 0.650, 0.750)
W (0.000, 0.000, 0.000)
W (0.000, 0.000, 0.500)

Results
The calculation puts the formation energy from the elements at 1.436 eV per formula unit. The value obtained for the size of the total moment is 10.82 μB/cell.